Entry 1:
The following is a GGA-PBE calculation of a relaxed structure of CdNi2Se, from the Alexandria database.

Geometry as POSCAR:
```
CdNi2Se
1.0
-1.376 3.262 0.858
-2.768 -1.339 0.652
1.649 -0.744 5.474
Cd Ni Se
1 2 1
Direct
0.500 0.625 0.791
0.000 0.125 0.022
0.500 0.125 0.366
0.000 0.625 0.321
```

Summary:
As for the crystal system: orthorhombic. As for the total energy: -15.85 eV for the cell shown. As for the energy above the most stable polymorph in this dataset: 0.063 eV per atom. For the formation energy from raw total energies, the calculation gives 0.028 eV per atom. The total magnetization is 0.0 μB/f.u. As for the space-group type: Pmm2, No. 25.

Entry 2:
The following is a GGA-PBE calculation of a relaxed structure of LaU2F11, from the Alexandria database.

Geometry as POSCAR:
```
LaU2F11
1.0
7.541 0.000 3.931
3.463 7.798 2.556
0.154 -0.073 8.905
La U F
2 4 22
Direct
0.750 0.750 0.750
0.250 0.250 0.250
0.647 0.682 0.318
0.353 0.318 0.682
0.853 0.182 0.818
0.147 0.818 0.182
0.640 0.707 0.561
0.360 0.293 0.439
0.091 0.561 0.707
0.860 0.939 0.793
0.909 0.439 0.293
0.140 0.061 0.207
0.409 0.793 0.939
0.591 0.207 0.061
0.500 0.500 0.500
0.000 0.000 0.000
0.871 0.784 0.216
0.129 0.216 0.784
0.629 0.284 0.716
0.371 0.716 0.284
0.455 0.959 0.317
0.545 0.041 0.683
0.269 0.317 0.959
0.045 0.183 0.541
0.731 0.683 0.041
0.955 0.817 0.459
0.231 0.541 0.183
0.769 0.459 0.817
```

Summary:
As for the crystal system: orthorhombic. As for the total energy: -201.85 eV for the cell shown. For the formation energy from raw total energies, the calculation gives -3.774 eV per atom. The total magnetization is 4.0 μB/f.u. As for the space-group type: Ibam, No. 72.

Entry 3:
The following is a GGA-PBE calculation of a relaxed structure of Pr3Er2ScS6, from the Alexandria database.

Geometry as POSCAR:
```
Pr3Er2ScS6
1.0
6.771 -0.009 -0.003
-3.392 5.860 -0.003
-1.130 -1.956 6.646
Pr Er Sc S
3 2 1 6
Direct
0.169 0.831 0.500
0.831 0.169 0.500
0.500 0.500 0.500
0.334 0.666 0.000
0.666 0.334 0.000
0.000 0.000 0.000
0.926 0.600 0.778
0.749 0.749 0.225
0.074 0.400 0.222
0.600 0.926 0.778
0.251 0.251 0.775
0.400 0.074 0.222
```

Summary:
As for the crystal system: monoclinic. As for the total energy: -78.24 eV for the cell shown. For the formation energy from raw total energies, the calculation gives -1.973 eV per atom. The total magnetization is 0.0 μB/f.u. As for the space-group type: C2/m, No. 12.

Entry 4:
The following is a GGA-PBE calculation of a relaxed structure of TcHg, from the Alexandria database.

Geometry as POSCAR:
```
TcHg
1.0
2.915 0.000 0.000
-1.457 2.524 0.000
0.000 0.000 4.780
Hg Tc
1 1
Direct
0.000 0.000 0.000
0.333 0.667 0.500
```

Summary:
As for the crystal system: hexagonal. As for the total energy: -9.19 eV for the cell shown. As for the energy above the most stable polymorph in this dataset: 0.497 eV per atom. The total magnetization is 0.0 μB/f.u. As for the space-group type: P-6m2, No. 187.

Entry 5:
The following is a GGA-PBE calculation of a relaxed structure of SiPC, from the Alexandria database.

Geometry as POSCAR:
```
SiPC
1.0
-2.814 0.598 -2.213
-1.143 -2.688 0.728
-4.204 3.491 6.292
P Si C
2 2 2
Direct
0.000 0.500 0.222
0.500 0.000 0.722
0.000 0.000 0.549
0.500 0.500 0.049
0.000 0.500 0.430
0.500 0.000 0.930
```

Summary:
As for the crystal system: orthorhombic. As for the total energy: -37.98 eV for the cell shown. As for the energy above the most stable polymorph in this dataset: 0.146 eV per atom. For the formation energy from raw total energies, the calculation gives 0.355 eV per atom. The total magnetization is 0.0 μB/f.u. As for the space-group type: Imm2, No. 44.

Entry 6:
The following is a GGA-PBE calculation of a relaxed structure of NpOsC, from the Alexandria database.

Geometry as POSCAR:
```
NpOsC
1.0
-1.355 -2.099 2.858
1.548 -4.376 -2.480
8.150 0.490 4.224
Os C Np
4 4 4
Direct
0.125 0.750 0.718
0.125 0.250 0.718
0.875 0.250 0.218
0.875 0.750 0.218
0.126 0.500 0.082
0.874 0.500 0.582
0.126 0.000 0.354
0.874 0.000 0.854
0.359 0.500 0.402
0.641 0.500 0.902
0.641 0.000 0.534
0.359 0.000 0.034
```

Summary:
As for the crystal system: orthorhombic. As for the total energy: -128.63 eV for the cell shown. As for the energy above the most stable polymorph in this dataset: 0.000 eV per atom. The total magnetization is 2.8 μB/f.u. As for the space-group type: Pbcm, No. 57.

Entry 7:
The following is a GGA-PBE calculation of a relaxed structure of AsOs2Rh, from the Alexandria database.

Geometry as POSCAR:
```
AsOs2Rh
1.0
-0.064 7.743 3.720
-2.681 7.718 2.650
-2.167 6.518 5.158
Rh As Os
1 1 2
Direct
0.496 0.496 0.496
0.750 0.750 0.750
0.002 0.002 0.002
0.252 0.252 0.252
```

Summary:
As for the crystal system: trigonal. As for the total energy: -33.69 eV for the cell shown. The total magnetization is 0.0 μB/f.u. As for the space-group type: R3m, No. 160.

Entry 8:
The following is a GGA-PBE calculation of a relaxed structure of Li2EuIn, from the Alexandria database.

Geometry as POSCAR:
```
Li2EuIn
1.0
-0.810 3.557 2.199
1.607 -2.166 4.095
4.538 1.608 -0.930
Eu Li In
1 2 1
Direct
0.500 0.000 0.000
0.000 0.000 0.500
0.000 0.500 0.000
0.500 0.500 0.500
```

Summary:
As for the crystal system: tetragonal. As for the total energy: -17.28 eV for the cell shown. The total magnetization is 7.9 μB/f.u. As for the space-group type: P4/mmm, No. 123.

Entry 9:
The following is a GGA-PBE calculation of a relaxed structure of Pm5Sm2YIn, from the Alexandria database.

Geometry as POSCAR:
```
Pm5Sm2YIn
1.0
5.513 0.000 0.000
-2.756 10.067 0.000
0.000 0.000 10.877
Pm Sm Y In
10 4 2 2
Direct
0.382 0.765 0.008
0.710 0.419 0.807
0.500 0.000 0.758
0.290 0.581 0.709
0.986 0.972 0.508
0.618 0.235 0.508
0.290 0.581 0.307
0.500 0.000 0.258
0.710 0.419 0.209
0.014 0.028 0.008
0.884 0.768 0.803
0.116 0.232 0.713
0.116 0.232 0.303
0.884 0.768 0.213
0.798 0.596 0.508
0.202 0.404 0.008
0.595 0.190 0.008
0.405 0.810 0.508
```

Summary:
As for the crystal system: orthorhombic. As for the total energy: -85.03 eV for the cell shown. The total magnetization is 0.0 μB/f.u. As for the space-group type: Cmcm, No. 63.

Entry 10:
The following is a GGA-PBE calculation of a relaxed structure of BaHoCd2, from the Alexandria database.

Geometry as POSCAR:
```
BaHoCd2
1.0
-3.248 -0.712 1.967
0.106 -2.205 3.171
0.610 7.396 7.476
Cd Ho Ba
2 1 1
Direct
0.741 0.741 0.777
0.259 0.259 0.223
0.000 0.000 0.000
0.500 0.500 0.500
```

Summary:
As for the crystal system: trigonal. As for the total energy: -8.55 eV for the cell shown. As for the energy above the most stable polymorph in this dataset: 0.230 eV per atom. The total magnetization is 0.0 μB/f.u. As for the space-group type: R-3m, No. 166.

Entry 11:
The following is a GGA-PBE calculation of a relaxed structure of Li2ErNi9, from the Alexandria database.

Geometry as POSCAR:
```
Li2ErNi9
1.0
-0.034 -0.970 -4.601
-1.253 -7.781 1.650
-7.954 1.238 -0.203
Li Er Ni
4 2 18
Direct
0.000 0.614 0.114
0.000 0.386 0.886
0.000 0.114 0.386
0.000 0.886 0.614
0.000 0.500 0.500
0.000 0.000 0.000
0.500 0.500 0.000
0.500 0.000 0.500
0.500 0.709 0.561
0.500 0.291 0.439
0.500 0.209 0.939
0.500 0.791 0.061
0.500 0.439 0.709
0.500 0.561 0.291
0.500 0.061 0.209
0.500 0.939 0.791
0.757 0.819 0.319
0.757 0.181 0.681
0.757 0.319 0.181
0.757 0.681 0.819
0.243 0.181 0.681
0.243 0.819 0.319
0.243 0.681 0.819
0.243 0.319 0.181
```

Summary:
As for the crystal system: tetragonal. As for the total energy: -124.74 eV for the cell shown. The total magnetization is 3.7 μB/f.u. As for the space-group type: P4/mbm, No. 127.

Entry 12:
The following is a GGA-PBE calculation of a relaxed structure of YBe2, from the Alexandria database.

Geometry as POSCAR:
```
YBe2
1.0
-1.041 -2.274 4.718
-0.951 -4.869 1.975
4.222 -3.683 3.623
Y Be
2 4
Direct
0.559 0.559 0.679
0.441 0.441 0.321
0.148 0.148 0.907
0.780 0.780 0.849
0.852 0.852 0.093
0.220 0.220 0.151
```

Summary:
As for the crystal system: monoclinic. As for the total energy: -27.67 eV for the cell shown. The total magnetization is 0.0 μB/f.u. As for the space-group type: C2/m, No. 12.

Entry 13:
The following is a GGA-PBE calculation of a relaxed structure of Nd3Zn2Pd7, from the Alexandria database.

Geometry as POSCAR:
```
Nd3Zn2Pd7
1.0
4.055 0.000 0.000
0.000 4.201 -0.624
0.000 0.065 14.892
Nd Zn Pd
3 2 7
Direct
0.500 0.500 0.000
0.500 0.701 0.402
0.500 0.299 0.598
0.000 0.918 0.835
0.000 0.082 0.165
0.000 0.369 0.738
0.000 0.789 0.578
0.000 0.000 0.000
0.000 0.631 0.262
0.500 0.135 0.269
0.500 0.865 0.731
0.000 0.211 0.422
```

Summary:
As for the crystal system: orthorhombic. As for the total energy: -59.43 eV for the cell shown. As for the energy above the most stable polymorph in this dataset: 0.131 eV per atom. The total magnetization is 0.0 μB/f.u. As for the space-group type: Cmmm, No. 65.

Entry 14:
The following is a GGA-PBE calculation of a relaxed structure of CaMoRh, from the Alexandria database.

Geometry as POSCAR:
```
CaMoRh
1.0
-1.829 -3.479 2.402
-0.104 -0.075 -4.605
2.638 -1.412 -0.036
Mo Rh Ca
1 1 1
Direct
0.667 0.333 0.408
0.333 0.667 0.589
0.000 0.000 0.003
```

Summary:
As for the crystal system: trigonal. As for the total energy: -18.95 eV for the cell shown. As for the energy above the most stable polymorph in this dataset: 0.230 eV per atom. The total magnetization is 0.0 μB/f.u. As for the space-group type: P3m1, No. 156.

Entry 15:
The following is a GGA-PBE calculation of a relaxed structure of CeHf2Rh, from the Alexandria database.

Geometry as POSCAR:
```
CeHf2Rh
1.0
-3.130 -0.605 3.443
-0.556 -4.232 1.949
2.244 -0.526 5.146
Ce Hf Rh
1 2 1
Direct
0.492 0.492 0.523
0.054 0.054 0.838
0.280 0.280 0.159
0.673 0.673 0.980
```

Summary:
As for the crystal system: trigonal. As for the total energy: -33.66 eV for the cell shown. As for the energy above the most stable polymorph in this dataset: 0.240 eV per atom. The total magnetization is 0.0 μB/f.u. As for the space-group type: R3m, No. 160.

Entry 16:
The following is a GGA-PBE calculation of a relaxed structure of Rb2SrI7, from the Alexandria database.

Geometry as POSCAR:
```
Rb2SrI7
1.0
-4.510 0.557 -7.648
-1.701 -8.725 0.368
-9.153 -2.751 0.023
I Sr Rb
7 1 2
Direct
0.000 0.000 0.000
0.278 0.278 0.444
0.722 0.722 0.556
0.243 0.243 0.000
0.757 0.757 0.000
0.757 0.243 0.000
0.243 0.757 0.000
0.500 0.500 0.000
0.750 0.250 0.500
0.250 0.750 0.500
```

Summary:
As for the crystal system: tetragonal. As for the total energy: -23.39 eV for the cell shown. For the formation energy from raw total energies, the calculation gives -0.893 eV per atom. The total magnetization is 0.0 μB/f.u. As for the space-group type: I4/mmm, No. 139.

Entry 17:
The following is a GGA-PBE calculation of a relaxed structure of Dy2YI, from the Alexandria database.

Geometry as POSCAR:
```
Dy2YI
1.0
3.745 0.000 0.000
1.873 3.243 0.000
1.873 1.081 10.477
I Y Dy
1 1 2
Direct
0.000 0.000 0.000
0.500 0.500 0.500
0.745 0.745 0.764
0.255 0.255 0.236
```

Summary:
As for the crystal system: trigonal. As for the total energy: -18.59 eV for the cell shown. As for the energy above the most stable polymorph in this dataset: 0.005 eV per atom. For the formation energy from raw total energies, the calculation gives -0.342 eV per atom. The total magnetization is 0.0 μB/f.u. As for the space-group type: R-3m, No. 166.

Entry 18:
The following is a GGA-PBE calculation of a relaxed structure of LaGdSn2, from the Alexandria database.

Geometry as POSCAR:
```
LaGdSn2
1.0
5.499 0.000 0.000
2.749 4.762 0.000
2.749 1.587 4.490
Gd Sn La
1 2 1
Direct
0.500 0.500 0.500
0.250 0.250 0.250
0.750 0.750 0.750
0.000 0.000 0.000
```

Summary:
As for the crystal system: cubic. As for the total energy: -29.52 eV for the cell shown. As for the energy above the most stable polymorph in this dataset: 0.092 eV per atom. The total magnetization is 7.3 μB/f.u. As for the space-group type: Fm-3m, No. 225.

Entry 19:
The following is a GGA-PBE calculation of a relaxed structure of NdErRuAu, from the Alexandria database.

Geometry as POSCAR:
```
NdErRuAu
1.0
-4.518 0.094 2.178
-2.378 -4.295 1.029
-0.522 -1.500 4.758
Ru Nd Au Er
1 1 1 1
Direct
0.500 0.500 0.500
0.750 0.750 0.750
0.000 0.000 0.000
0.250 0.250 0.250
```

Summary:
As for the crystal system: cubic. As for the total energy: -23.87 eV for the cell shown. The total magnetization is 0.0 μB/f.u. As for the space-group type: F-43m, No. 216.

Entry 20:
The following is a GGA-PBE calculation of a relaxed structure of Pm2SbRh6, from the Alexandria database.

Geometry as POSCAR:
```
Pm2SbRh6
1.0
5.650 0.000 0.000
-2.825 4.732 1.106
0.000 0.068 6.326
Pm Sb Rh
2 1 6
Direct
0.642 0.284 0.166
0.358 0.716 0.834
0.000 0.000 0.000
0.877 0.280 0.674
0.886 0.772 0.667
0.403 0.280 0.674
0.123 0.720 0.326
0.114 0.228 0.333
0.597 0.720 0.326
```

Summary:
As for the crystal system: monoclinic. As for the total energy: -62.66 eV for the cell shown. For the formation energy from raw total energies, the calculation gives -0.548 eV per atom. The total magnetization is 0.0 μB/f.u. As for the space-group type: C2/m, No. 12.